Entry 1:
Below is crystalline AsC3Se at its relaxed geometry, with properties calculated at the PBEsol level.

Summary:
calculated volume: 59.83 Å³ per cell
space group: Pm-3m (221)
total magnetization: 0.00 Bohr magnetons per cell
formation energy from raw total energies: 2658 meV/atom

a = 3.911 Å, b = 3.911 Å, c = 3.911 Å
α = 90.00°, β = 90.00°, γ = 90.00°
Fractional coordinates of all 5 atoms:
As 0.000 0.000 0.000
C 0.000 0.000 0.500
C 0.000 0.500 0.000
C 0.500 0.000 0.000
Se 0.500 0.500 0.500

Entry 2:
Below is crystalline LaY2Cl at its relaxed geometry, with properties calculated at the PBEsol level.

Summary:
calculated volume: 114.25 Å³ per cell
space group: I-4m2 (119)
total magnetization: 0.00 Bohr magnetons per cell
formation energy from raw total energies: -93 meV/atom

a = 6.174 Å, b = 6.174 Å, c = 6.174 Å
α = 135.43°, β = 135.43°, γ = 64.87°
Fractional coordinates of all 4 atoms:
La 0.000 0.000 0.000
Y 0.500 0.500 0.000
Y 0.750 0.250 0.500
Cl 0.250 0.750 0.500

Entry 3:
Below is crystalline TiNbMo2As at its relaxed geometry, with properties calculated at the PBEsol level.

Summary:
calculated volume: 93.22 Å³ per cell
space group: P4/mmm (123)
total magnetization: 0.00 Bohr magnetons per cell
energy of formation from the pure elements: 125.8 kJ/mol of atoms

a = 4.528 Å, b = 4.528 Å, c = 4.548 Å
α = 90.00°, β = 90.00°, γ = 90.00°
Fractional coordinates of all 5 atoms:
Ti 0.000 0.000 0.000
Nb 0.500 0.500 0.500
Mo 0.000 0.500 0.000
Mo 0.500 0.000 0.000
As 0.000 0.000 0.500

Entry 4:
Below is crystalline KCu2Sb at its relaxed geometry, with properties calculated at the PBEsol level.

Summary:
calculated volume: 79.55 Å³ per cell
space group: I-4m2 (119)
total magnetization: 0.00 Bohr magnetons per cell
formation energy from raw total energies: 508 meV/atom

a = 5.093 Å, b = 5.093 Å, c = 5.093 Å
α = 128.07°, β = 128.07°, γ = 76.50°
Fractional coordinates of all 4 atoms:
K 0.000 0.000 0.000
Cu 0.250 0.750 0.500
Cu 0.500 0.500 0.000
Sb 0.750 0.250 0.500